# Mg6CoSnO8 GGA+U optimized geometry
data_Mg6CoSnO8
_chemical_formula_sum 'Mg6 Co1 Sn1 O8'
_symmetry_space_group_name_H-M 'P 1'
_symmetry_Int_Tables_number 1
_cell_length_a 4.3585
_cell_length_b 4.3585
_cell_length_c 8.8618
_cell_angle_alpha 90.00
_cell_angle_beta 90.00
_cell_angle_gamma 90.00
loop_
_symmetry_equiv_pos_as_xyz
'x,y,z'
loop_
_atom_site_label
_atom_site_type_symbol
_atom_site_fract_x
_atom_site_fract_y
_atom_site_fract_z
O1 O 0.5000 0.5000 0.2632
O2 O 0.5000 0.0000 0.0000
O3 O 0.0000 0.0000 0.2654
O4 O 0.5000 0.0000 0.5000
O5 O 0.0000 0.0000 0.7346
O6 O 0.5000 0.5000 0.7368
O7 O 0.0000 0.5000 0.5000
O8 O 0.0000 0.5000 0.0000
Mg1 Mg 0.0000 0.5000 0.2603
Mg2 Mg 0.5000 0.0000 0.2603
Mg3 Mg 0.5000 0.5000 0.5000
Mg4 Mg 0.5000 0.0000 0.7397
Mg5 Mg 0.0000 0.0000 0.5000
Mg6 Mg 0.0000 0.5000 0.7397
Co1 Co 0.0000 0.0000 0.0000
Sn1 Sn 0.5000 0.5000 0.0000
# ΔE to the lowest computed polymorph ... 0 meV per atom


Material: Sr3MgCo2O6
Method: DFT, GGA+U
State: optimized geometry

The structure in CIF format:
```
data_Sr3MgCo2O6
_chemical_formula_sum 'Sr3 Mg1 Co2 O6'
_symmetry_space_group_name_H-M 'P 1'
_symmetry_Int_Tables_number 1
_cell_length_a 5.8524
_cell_length_b 5.8524
_cell_length_c 6.3781
_cell_angle_alpha 90.00
_cell_angle_beta 90.00
_cell_angle_gamma 120.00
loop_
_symmetry_equiv_pos_as_xyz
'x,y,z'
loop_
_atom_site_label
_atom_site_type_symbol
_atom_site_fract_x
_atom_site_fract_y
_atom_site_fract_z
Sr1 Sr 0.3333 0.6667 0.6525
Sr2 Sr 0.6667 0.3333 0.3475
Sr3 Sr 0.0000 0.0000 0.0000
Co1 Co 0.3333 0.6667 0.2076
Co2 Co 0.6667 0.3333 0.7924
O1 O 0.8371 0.1629 0.7020
O2 O 0.1629 0.3257 0.2980
O3 O 0.8371 0.6743 0.7020
O4 O 0.3257 0.1629 0.7020
O5 O 0.1629 0.8371 0.2980
O6 O 0.6743 0.8371 0.2980
Mg1 Mg 0.0000 0.0000 0.5000
```


Material: SrMgCo4O12
Method: DFT, GGA+U
State: optimized geometry

The structure in CIF format:
```
data_SrMgCo4O12
_chemical_formula_sum 'Sr1 Mg1 Co4 O12'
_symmetry_space_group_name_H-M 'P 1'
_symmetry_Int_Tables_number 1
_cell_length_a 5.2810
_cell_length_b 5.2810
_cell_length_c 7.4561
_cell_angle_alpha 90.00
_cell_angle_beta 90.00
_cell_angle_gamma 90.00
loop_
_symmetry_equiv_pos_as_xyz
'x,y,z'
loop_
_atom_site_label
_atom_site_type_symbol
_atom_site_fract_x
_atom_site_fract_y
_atom_site_fract_z
Co1 Co 0.0000 0.5000 0.7523
Co2 Co 0.0000 0.5000 0.2477
Co3 Co 0.5000 0.0000 0.7523
Co4 Co 0.5000 0.0000 0.2477
Mg1 Mg 0.5000 0.5000 0.0000
O1 O 0.7426 0.7426 0.2369
O2 O 0.2574 0.2574 0.2369
O3 O 0.2574 0.7426 0.2369
O4 O 0.2574 0.7426 0.7631
O5 O 0.7426 0.2574 0.7631
O6 O 0.0000 0.5000 0.0000
O7 O 0.7426 0.2574 0.2369
O8 O 0.7426 0.7426 0.7631
O9 O 0.0000 0.5000 0.5000
O10 O 0.5000 0.0000 0.0000
O11 O 0.5000 0.0000 0.5000
O12 O 0.2574 0.2574 0.7631
Sr1 Sr 0.0000 0.0000 0.5000
```


Material: Sr2MgCo2O6
Method: DFT, GGA+U
State: optimized geometry

The structure in CIF format:
```
data_Sr2MgCo2O6
_chemical_formula_sum 'Sr2 Mg1 Co2 O6'
_symmetry_space_group_name_H-M 'P 1'
_symmetry_Int_Tables_number 1
_cell_length_a 5.8109
_cell_length_b 5.8109
_cell_length_c 6.3833
_cell_angle_alpha 62.92
_cell_angle_beta 62.92
_cell_angle_gamma 60.00
loop_
_symmetry_equiv_pos_as_xyz
'x,y,z'
loop_
_atom_site_label
_atom_site_type_symbol
_atom_site_fract_x
_atom_site_fract_y
_atom_site_fract_z
Mg1 Mg 0.0000 0.0000 0.0000
Sr1 Sr 0.2087 0.2087 0.3738
Sr2 Sr 0.7913 0.7913 0.6262
Co1 Co 0.5851 0.5851 0.2448
Co2 Co 0.4149 0.4149 0.7552
O1 O 0.7574 0.7574 0.2530
O2 O 0.7574 0.2322 0.2530
O3 O 0.2426 0.7678 0.7470
O4 O 0.2322 0.7574 0.2530
O5 O 0.7678 0.2426 0.7470
O6 O 0.2426 0.2426 0.7470
```


Material: Mg2Ta2CoO8
Method: DFT, GGA+U
State: optimized geometry

The structure in CIF format:
```
data_Mg2Ta2CoO8
_chemical_formula_sum 'Mg4 Ta4 Co2 O16'
_symmetry_space_group_name_H-M 'P 1'
_symmetry_Int_Tables_number 1
_cell_length_a 5.1992
_cell_length_b 6.0046
_cell_length_c 9.9949
_cell_angle_alpha 107.48
_cell_angle_beta 90.20
_cell_angle_gamma 90.00
loop_
_symmetry_equiv_pos_as_xyz
'x,y,z'
loop_
_atom_site_label
_atom_site_type_symbol
_atom_site_fract_x
_atom_site_fract_y
_atom_site_fract_z
Ta1 Ta 0.2442 0.9513 0.2309
Ta2 Ta 0.7558 0.0487 0.7691
Ta3 Ta 0.2558 0.7204 0.7691
Ta4 Ta 0.7442 0.2796 0.2309
O1 O 0.9123 0.3151 0.8836
O2 O 0.5877 0.4315 0.1164
O3 O 0.1193 0.4548 0.6181
O4 O 0.3807 0.8367 0.3819
O5 O 0.0804 0.1828 0.1418
O6 O 0.4196 0.0410 0.8582
O7 O 0.6193 0.1633 0.6181
O8 O 0.5804 0.9590 0.1418
O9 O 0.5437 0.7109 0.6278
O10 O 0.4563 0.2891 0.3722
O11 O 0.8807 0.5452 0.3819
O12 O 0.9563 0.0831 0.3722
O13 O 0.9196 0.8172 0.8582
O14 O 0.0877 0.6849 0.1164
O15 O 0.0437 0.9169 0.6278
O16 O 0.4123 0.5685 0.8836
Mg1 Mg 0.7542 0.4160 0.5452
Mg2 Mg 0.7458 0.8707 0.4548
Mg3 Mg 0.2542 0.1293 0.5452
Mg4 Mg 0.2458 0.5840 0.4548
Co1 Co 0.7500 0.6428 0.0000
Co2 Co 0.2500 0.3572 0.0000
```


Material: MgTaCo2O6
Method: DFT, GGA+U
State: optimized geometry

The structure in CIF format:
```
data_MgTaCo2O6
_chemical_formula_sum 'Mg1 Ta1 Co2 O6'
_symmetry_space_group_name_H-M 'P 1'
_symmetry_Int_Tables_number 1
_cell_length_a 5.0858
_cell_length_b 5.0857
_cell_length_c 5.5526
_cell_angle_alpha 62.72
_cell_angle_beta 62.71
_cell_angle_gamma 60.00
loop_
_symmetry_equiv_pos_as_xyz
'x,y,z'
loop_
_atom_site_label
_atom_site_type_symbol
_atom_site_fract_x
_atom_site_fract_y
_atom_site_fract_z
O1 O 0.7312 0.1151 0.7634
O2 O 0.9330 0.6140 0.2381
O3 O 0.2146 0.9331 0.2381
O4 O 0.6140 0.2147 0.2381
O5 O 0.3904 0.7312 0.7633
O6 O 0.1153 0.3905 0.7633
Ta1 Ta 0.3206 0.3205 0.0384
Co1 Co 0.5239 0.5240 0.4279
Co2 Co 0.0088 0.0087 0.9738
Mg1 Mg 0.8098 0.8097 0.5708
```


Material: MgCo2TcO6
Method: DFT, GGA+U
State: optimized geometry

The structure in CIF format:
```
data_MgCo2TcO6
_chemical_formula_sum 'Mg1 Co2 Tc1 O6'
_symmetry_space_group_name_H-M 'P 1'
_symmetry_Int_Tables_number 1
_cell_length_a 5.0077
_cell_length_b 5.0074
_cell_length_c 5.3934
_cell_angle_alpha 62.34
_cell_angle_beta 62.34
_cell_angle_gamma 60.00
loop_
_symmetry_equiv_pos_as_xyz
'x,y,z'
loop_
_atom_site_label
_atom_site_type_symbol
_atom_site_fract_x
_atom_site_fract_y
_atom_site_fract_z
Co1 Co 0.5157 0.5157 0.4529
Co2 Co 0.0115 0.0115 0.9654
O1 O 0.9096 0.6154 0.2432
O2 O 0.6154 0.2319 0.2432
O3 O 0.2318 0.9096 0.2432
O4 O 0.7296 0.1259 0.7514
O5 O 0.3931 0.7295 0.7514
O6 O 0.1259 0.3931 0.7514
Tc1 Tc 0.3182 0.3182 0.0453
Mg1 Mg 0.8107 0.8107 0.5677
```


Material: MgCoTc2O8
Method: DFT, GGA+U
State: optimized geometry

The structure in CIF format:
```
data_MgCoTc2O8
_chemical_formula_sum 'Mg1 Co1 Tc2 O8'
_symmetry_space_group_name_H-M 'P 1'
_symmetry_Int_Tables_number 1
_cell_length_a 5.8594
_cell_length_b 5.8594
_cell_length_c 5.8594
_cell_angle_alpha 110.42
_cell_angle_beta 110.42
_cell_angle_gamma 107.58
loop_
_symmetry_equiv_pos_as_xyz
'x,y,z'
loop_
_atom_site_label
_atom_site_type_symbol
_atom_site_fract_x
_atom_site_fract_y
_atom_site_fract_z
O1 O 0.4443 0.6577 0.7866
O2 O 0.8711 0.6577 0.2134
O3 O 0.9033 0.1901 0.2868
O4 O 0.8099 0.0967 0.7132
O5 O 0.9033 0.6166 0.7132
O6 O 0.3423 0.1289 0.7866
O7 O 0.3834 0.0967 0.2868
O8 O 0.3423 0.5557 0.2134
Tc1 Tc 0.7500 0.2500 0.5000
Tc2 Tc 0.5000 0.5000 0.0000
Mg1 Mg 0.0000 0.0000 0.0000
Co1 Co 0.2500 0.7500 0.5000
```


| no. | energy (eV per atom) |
| --- | --- |
| 1 | -5.795 |
| 2 | -5.758 |
| 3 | -5.337 |
| 4 | -5.931 |
| 5 | -8.068 |
| 6 | -7.312 |
| 7 | -6.537 |
| 8 | -6.981 |